Computed, not measured: crystalline RbNaMn2 at its relaxed geometry at the GGA-PBE level of DFT.

Energy above the most stable polymorph in this dataset, eV/atom: 0.0262
Crystal system: tetragonal
DOS(E_F), states/eV/atom: 1.649
Calculated density, g/cm3: 2.90
E_form, meV per atom: 1204

Lattice parameters (Å, degrees): 9.1568 9.1568 7.1266 50.03 50.03 90.00
With the nearest neighbours (Å) after each atom.
Fractional positions:
Mn (0.6054, 0.1250, 0.2500)  2 Mn 3.00, 2 Na 3.20
Mn (0.1446, 0.6250, 0.2500)  2 Mn 3.00, 2 Na 3.20
Mn (0.3750, 0.3946, 0.7500)  2 Mn 3.00, 2 Na 3.20
Mn (0.8750, 0.8554, 0.7500)  2 Mn 3.00, 2 Na 3.20
Rb (0.0000, 0.0000, 0.0000)  2 Na 2.98
Rb (0.7500, 0.2500, 0.5000)  2 Na 2.98
Na (0.5000, 0.5000, 0.0000)  2 Rb 2.98, 4 Mn 3.20
Na (0.2500, 0.7500, 0.5000)  2 Rb 2.98, 4 Mn 3.20

---

Computed, not measured: crystalline ZrBeIr at its relaxed geometry at the GGA-PBE level of DFT.

Energy above the most stable polymorph in this dataset, eV/atom: 0.2064
Crystal system: tetragonal
DOS(E_F), states/eV/atom: 0.731
Calculated density, g/cm3: 10.91
E_form, meV per atom: -527

Lattice parameters (Å, degrees): 5.3501 5.3501 3.0113 73.65 73.65 32.69
With the nearest neighbours (Å) after each atom.
Fractional positions:
Ir (0.3661, 0.3661, 0.6339)  4 Be 2.35
Be (0.9680, 0.9680, 0.0320)  4 Ir 2.35
Zr (0.6659, 0.6659, 0.3341)  5 Be 2.88-2.97, 5 Ir 2.90-2.94, 4 Zr 3.01

---

Computed, not measured: crystalline ZnSiTc4 at its relaxed geometry at the GGA-PBE level of DFT.

Crystal system: cubic
Formation energy without anion corrections, eV/f.u.: 3.00
DOS(E_F), states/eV/atom: 0.762
Calculated density, g/cm3: 8.61

Lattice parameters (Å, degrees): 5.0972 5.0972 5.0972 60.00 60.00 60.00
With the nearest neighbours (Å) after each atom.
Fractional positions:
Tc (0.3749, 0.3749, 0.3749)  6 Tc 2.55
Tc (0.3749, 0.8754, 0.3749)  6 Tc 2.55
Tc (0.3749, 0.3749, 0.8754)  6 Tc 2.55
Tc (0.8754, 0.3749, 0.3749)  6 Tc 2.55
Zn (0.7500, 0.7500, 0.7500)  12 Tc 2.99, 4 Si 3.12
Si (0.0000, 0.0000, 0.0000)  12 Tc 2.99, 4 Zn 3.12

---

Computed, not measured: crystalline CeNdTm2P4 at its relaxed geometry at the GGA-PBE level of DFT.

Crystal system: monoclinic
DOS(E_F), states/eV/atom: 0.687
Calculated density, g/cm3: 6.66
E_form, meV per atom: -1557

Lattice parameters (Å, degrees): 4.0406 6.9743 6.9993 70.56 90.00 90.00
With the nearest neighbours (Å) after each atom.
Fractional positions:
Ce (0.0000, 0.5000, 0.5000)  6 P 2.87-2.88
Nd (0.5000, 0.5000, 0.0000)  6 P 2.90-2.91
P (0.5000, 0.2410, 0.7498)  3 Tm 2.80-2.83, 2 Ce 2.88, 1 Nd 2.90
P (0.0000, 0.2395, 0.2577)  3 Tm 2.80-2.84, 1 Ce 2.87, 2 Nd 2.91
P (0.5000, 0.7590, 0.2502)  3 Tm 2.80-2.83, 2 Ce 2.88, 1 Nd 2.90
P (0.0000, 0.7605, 0.7423)  3 Tm 2.80-2.84, 1 Ce 2.87, 2 Nd 2.91
Tm (0.5000, 0.0000, 0.5000)  6 P 2.80
Tm (0.0000, 0.0000, 0.0000)  6 P 2.83-2.84

---

Computed, not measured: crystalline CaTl2Pd at its relaxed geometry at the GGA-PBE level of DFT.

Crystal system: tetragonal
DOS(E_F), states/eV/atom: 0.539
Calculated density, g/cm3: 9.52
E_form, meV per atom: -282

Lattice parameters (Å, degrees): 4.7410 4.5197 4.5197 90.00 90.00 90.00
With the nearest neighbours (Å) after each atom.
Fractional positions:
Ca (0.5000, 0.5000, 0.5000)  4 Pd 3.20, 8 Tl 3.28
Pd (0.5000, 0.0000, 0.0000)  4 Ca 3.20, 8 Tl 3.28
Tl (0.0000, 0.0000, 0.5000)  4 Tl 3.20, 4 Ca 3.28, 4 Pd 3.28
Tl (0.0000, 0.5000, 0.0000)  4 Tl 3.20, 4 Ca 3.28, 4 Pd 3.28

---

Computed, not measured: crystalline ReHN at its relaxed geometry at the GGA-PBE level of DFT.

Energy above the most stable polymorph in this dataset, eV/atom: 0.0545
Crystal system: triclinic
DOS(E_F), states/eV/atom: 0.287
Calculated density, g/cm3: 10.63

Lattice parameters (Å, degrees): 2.7812 4.3755 5.5523 74.25 75.65 82.28
With the nearest neighbours (Å) after each atom.
Fractional positions:
H (0.5386, 0.9207, 0.7839)  2 Re 1.84-1.86
H (0.4614, 0.0793, 0.2161)  2 Re 1.84-1.86
N (0.9609, 0.4434, 0.6205)  1 N 1.27
N (0.0391, 0.5566, 0.3795)  1 N 1.27
Re (0.3593, 0.2901, 0.8922)  2 H 1.84-1.86, 2 N 2.01
Re (0.6407, 0.7099, 0.1078)  2 H 1.84-1.86, 2 N 2.01

---

Computed, not measured: crystalline SrLiNi at its relaxed geometry at the GGA-PBE level of DFT.

Energy above the most stable polymorph in this dataset, eV/atom: 0.2577
Crystal system: cubic
DOS(E_F), states/eV/atom: 1.083
Calculated density, g/cm3: 3.25
E_form, meV per atom: 257

Lattice parameters (Å, degrees): 4.8013 4.8013 4.8013 60.00 60.00 60.00
With the nearest neighbours (Å) after each atom.
Fractional positions:
Ni (0.7500, 0.7500, 0.7500)  4 Li 2.94, 4 Sr 2.94
Sr (0.0000, 0.0000, 0.0000)  4 Ni 2.94
Li (0.5000, 0.5000, 0.5000)  4 Ni 2.94

---

Computed, not measured: crystalline InAgW2 at its relaxed geometry at the GGA-PBE level of DFT.

Crystal system: monoclinic
DOS(E_F), states/eV/atom: 0.386
Calculated density, g/cm3: 13.97
E_form, meV per atom: 585

Lattice parameters (Å, degrees): 5.3261 5.3261 4.4838 72.54 72.54 35.54
With the nearest neighbours (Å) after each atom.
Fractional positions:
W (0.4996, 0.4996, 0.5065)  4 W 2.72-2.81, 2 Ag 2.92, 2 In 2.93
W (0.0004, 0.0004, 0.9935)  4 W 2.72-2.81, 2 Ag 2.92, 2 In 2.93
Ag (0.7500, 0.7500, 0.7500)  4 In 2.77, 6 W 2.92-3.06
In (0.2500, 0.2500, 0.2500)  4 Ag 2.77, 6 W 2.93-3.09

---

Computed, not measured: crystalline YVB3 at its relaxed geometry at the GGA-PBE level of DFT.

Energy above the most stable polymorph in this dataset, eV/atom: 2.1611
Crystal system: cubic
DOS(E_F), states/eV/atom: 1.958
Calculated density, g/cm3: 3.34
E_form, meV per atom: 2312

Lattice parameters (Å, degrees): 4.4066 4.4066 4.4066 90.00 90.00 90.00
With the nearest neighbours (Å) after each atom.
Fractional positions:
B (0.0000, 0.0000, 0.5000)  2 Y 2.20
B (0.0000, 0.5000, 0.0000)  2 Y 2.20
B (0.5000, 0.0000, 0.0000)  2 Y 2.20
Y (0.0000, 0.0000, 0.0000)  6 B 2.20
V (0.5000, 0.5000, 0.5000)  12 B 3.12

---

Computed, not measured: crystalline AcTcS at its relaxed geometry at the GGA-PBE level of DFT.

Crystal system: orthorhombic
Formation energy without anion corrections, eV/f.u.: -1.79
DOS(E_F), states/eV/atom: 0.934
Calculated density, g/cm3: 9.55

Lattice parameters (Å, degrees): 3.8409 5.9054 5.7874 90.00 90.00 108.98
With the nearest neighbours (Å) after each atom.
Fractional positions:
Ac (0.3149, 0.6297, 0.7500)  5 S 3.04-3.18, 4 Tc 3.17
Ac (0.6851, 0.3703, 0.2500)  5 S 3.04-3.18, 4 Tc 3.17
Tc (0.0000, 0.0000, 0.5000)  4 S 2.60, 2 Tc 2.89
Tc (0.0000, 0.0000, 0.0000)  4 S 2.60, 2 Tc 2.89
S (0.5874, 0.1748, 0.7500)  4 Tc 2.60
S (0.4126, 0.8252, 0.2500)  4 Tc 2.60

---

Computed, not measured: crystalline ThCuSi at its relaxed geometry at the GGA-PBE level of DFT.

Crystal system: orthorhombic
Formation energy without anion corrections, eV/f.u.: -1.48
DOS(E_F), states/eV/atom: 0.880
Calculated density, g/cm3: 8.85

Lattice parameters (Å, degrees): 4.0272 4.1633 7.2460 90.00 90.00 90.00
With the nearest neighbours (Å) after each atom.
Fractional positions:
Th (0.3116, 0.7162, 0.1439)  6 Si 3.12-3.14, 6 Cu 3.13-3.19
Th (0.3116, 0.2162, 0.6490)  6 Si 3.12-3.14, 6 Cu 3.13-3.18
Si (0.8116, 0.7163, 0.8110)  1 Cu 2.37, 2 Si 2.42
Si (0.8116, 0.2163, 0.9819)  1 Cu 2.37, 2 Si 2.42
Cu (0.8116, 0.2160, 0.3084)  1 Si 2.37, 2 Cu 2.44
Cu (0.8116, 0.7160, 0.4845)  1 Si 2.37, 2 Cu 2.44

---

Computed, not measured: crystalline Ba2Np3AlO12 at its relaxed geometry at the GGA-PBE level of DFT.

Crystal system: trigonal
Formation energy without anion corrections, eV/f.u.: -51.33
DOS(E_F), states/eV/atom: 0.394
Calculated density, g/cm3: 6.56

Lattice parameters (Å, degrees): 7.2977 7.2977 7.2977 65.04 65.04 65.04
With the nearest neighbours (Å) after each atom.
Fractional positions:
Ba (0.6591, 0.6591, 0.6591)  3 O 2.82
Ba (0.3409, 0.3409, 0.3409)  3 O 2.82
Np (0.0000, 0.5000, 0.0000)  6 O 1.95-2.18
Np (0.0000, 0.0000, 0.5000)  6 O 1.95-2.18
Np (0.5000, 0.0000, 0.0000)  6 O 1.95-2.18
Al (0.0000, 0.0000, 0.0000)  6 O 1.89
O (0.3373, 0.9576, 0.3373)  2 Np 2.18
O (0.3373, 0.3373, 0.9576)  2 Np 2.18
O (0.9432, 0.9432, 0.2938)  1 Al 1.89, 1 Np 1.95
O (0.9576, 0.3373, 0.3373)  2 Np 2.18
O (0.9432, 0.2938, 0.9432)  1 Al 1.89, 1 Np 1.95
O (0.2938, 0.9432, 0.9432)  1 Al 1.89, 1 Np 1.95
O (0.0568, 0.0568, 0.7062)  1 Al 1.89, 1 Np 1.95
O (0.7062, 0.0568, 0.0568)  1 Al 1.89, 1 Np 1.95
O (0.0424, 0.6627, 0.6627)  2 Np 2.18
O (0.6627, 0.6627, 0.0424)  2 Np 2.18
O (0.6627, 0.0424, 0.6627)  2 Np 2.18
O (0.0568, 0.7062, 0.0568)  1 Al 1.89, 1 Np 1.95